CaZrBi2O6 | GGA-PBE | optimized geometry

Cell and atoms, written as CIF:
```
data_CaZrBi2O6
_cell_length_a 5.9460
_cell_length_b 5.9460
_cell_length_c 15.1656
_cell_angle_alpha 90.00
_cell_angle_beta 90.00
_cell_angle_gamma 120.00
_space_group_name_H-M_alt 'R 3'
_space_group_IT_number 146
_space_group_name_Hall 'R 3'
loop_
_atom_site_label
_atom_site_type_symbol
_atom_site_fract_x
_atom_site_fract_y
_atom_site_fract_z
Ca1 Ca 0.0000 0.0000 0.0000
Zr1 Zr 0.0000 0.0000 0.4964
Bi1 Bi 0.0000 0.0000 0.2859
Bi2 Bi 0.0000 0.0000 0.7828
O1 O 0.0717 0.3446 0.5550
O2 O 0.0740 0.6858 0.0600
```

Output
Raw total energy (eV/atom): -7.02
Theoretical density (g/cm³): 6.922